--- w ---
Compound: DySBr
Source: Alexandria via LeMat-Bulk
Functional: PBE-GGA
Structure: optimized geometry

## Properties
As for the space-group type: No. 59. The calculation puts the size of the total moment at 0.000 μB/atom. Its density of states at the Fermi level is 0.0000 states/eV per atom.

Lattice parameters (Å, degrees): 4.0743 5.3640 9.3070 90.00 90.00 90.00
Fractional coordinates of all 6 atoms:
Dy (0.2500, 0.2500, 0.1245)
Dy (0.7500, 0.7500, 0.8755)
S (0.2500, 0.7500, 0.0732)
S (0.7500, 0.2500, 0.9268)
Br (0.2500, 0.7500, 0.6640)
Br (0.7500, 0.2500, 0.3360)


--- x ---
Compound: DySBr
Source: Alexandria via LeMat-Bulk
Functional: PBE-GGA
Structure: optimized geometry

## Properties
As for the space-group type: No. 156. The calculation puts the size of the total moment at 0.000 μB/atom. Its density of states at the Fermi level is 0.0000 states/eV per atom.

Lattice parameters (Å, degrees): 4.0749 4.0749 6.7732 90.00 90.00 120.00
Fractional coordinates of all 3 atoms:
Dy (0.0000, 0.0000, 0.0000)
S (0.6667, 0.3333, 0.1777)
Br (0.3333, 0.6667, 0.7302)


Which structure loses on stability? x does.


--- w ---
Compound: DyUBr6
Source: Alexandria via LeMat-Bulk
Functional: PBE-GGA
Structure: optimized geometry

## Properties
As for the space-group type: No. 12. The calculation puts the size of the total moment at 0.375 μB/atom. Its density of states at the Fermi level is 0.4008 states/eV per atom.

Lattice parameters (Å, degrees): 7.5310 7.5310 7.0929 97.88 97.88 123.77
Fractional coordinates of all 8 atoms:
Dy (0.0000, 0.0000, 0.0000)
U (0.5000, 0.5000, 0.5000)
Br (0.0951, 0.3876, 0.2425)
Br (0.2467, 0.2467, 0.7545)
Br (0.3876, 0.0951, 0.2425)
Br (0.6124, 0.9049, 0.7575)
Br (0.7533, 0.7533, 0.2455)
Br (0.9049, 0.6124, 0.7575)


--- x ---
Compound: DyUBr6
Source: Alexandria via LeMat-Bulk
Functional: PBE-GGA
Structure: optimized geometry

## Properties
As for the space-group type: No. 148. The calculation puts the size of the total moment at 0.375 μB/atom. Its density of states at the Fermi level is 0.2259 states/eV per atom.

Lattice parameters (Å, degrees): 7.7591 7.7591 7.7591 55.16 55.16 55.16
Fractional coordinates of all 8 atoms:
Dy (0.0000, 0.0000, 0.0000)
U (0.5000, 0.5000, 0.5000)
Br (0.0900, 0.3995, 0.7559)
Br (0.2441, 0.9100, 0.6005)
Br (0.3995, 0.7559, 0.0900)
Br (0.6005, 0.2441, 0.9100)
Br (0.7559, 0.0900, 0.3995)
Br (0.9100, 0.6005, 0.2441)


Which structure loses on stability? x does.


--- w ---
Compound: DyYBr6
Source: Alexandria via LeMat-Bulk
Functional: PBE-GGA
Structure: optimized geometry

## Properties
As for the space-group type: No. 148. The calculation puts the size of the total moment at 0.000 μB/atom. Its density of states at the Fermi level is 0.0000 states/eV per atom.

Lattice parameters (Å, degrees): 7.5921 7.5921 7.5921 55.38 55.38 55.38
Fractional coordinates of all 8 atoms:
Dy (0.0000, 0.0000, 0.0000)
Y (0.5000, 0.5000, 0.5000)
Br (0.0924, 0.4071, 0.7503)
Br (0.2497, 0.9076, 0.5929)
Br (0.4071, 0.7503, 0.0924)
Br (0.5929, 0.2497, 0.9076)
Br (0.7503, 0.0924, 0.4071)
Br (0.9076, 0.5929, 0.2497)


--- x ---
Compound: DyYBr6
Source: Alexandria via LeMat-Bulk
Functional: PBE-GGA
Structure: optimized geometry

## Properties
As for the space-group type: No. 12. The calculation puts the size of the total moment at 0.000 μB/atom. Its density of states at the Fermi level is 0.0000 states/eV per atom.

Lattice parameters (Å, degrees): 7.5116 7.5116 6.9585 97.90 97.90 124.81
Fractional coordinates of all 8 atoms:
Dy (0.0000, 0.0000, 0.0000)
Y (0.5000, 0.5000, 0.5000)
Br (0.1050, 0.3940, 0.2498)
Br (0.2495, 0.2495, 0.7502)
Br (0.3940, 0.1050, 0.2498)
Br (0.6060, 0.8950, 0.7502)
Br (0.7505, 0.7505, 0.2498)
Br (0.8950, 0.6060, 0.7502)


Which structure loses on stability? w does.


--- w ---
Compound: ErBrF2
Source: Alexandria via LeMat-Bulk
Functional: PBE-GGA
Structure: optimized geometry

## Properties
As for the space-group type: No. 166. The calculation puts the size of the total moment at 0.000 μB/atom. Its density of states at the Fermi level is 0.0000 states/eV per atom.

Lattice parameters (Å, degrees): 5.7094 5.7094 5.7094 39.71 39.71 39.71
Fractional coordinates of all 4 atoms:
Er (0.0000, 0.0000, 0.0000)
Br (0.5000, 0.5000, 0.5000)
F (0.3025, 0.3025, 0.3025)
F (0.6975, 0.6975, 0.6975)


--- x ---
Compound: ErBrF2
Source: Alexandria via LeMat-Bulk
Functional: PBE-GGA
Structure: optimized geometry

## Properties
As for the space-group type: No. 63. The calculation puts the size of the total moment at 0.000 μB/atom. Its density of states at the Fermi level is 0.0000 states/eV per atom.

Lattice parameters (Å, degrees): 5.6133 5.6133 6.9530 90.00 90.00 141.23
Fractional coordinates of all 8 atoms:
Er (0.2440, 0.7560, 0.7500)
Er (0.7560, 0.2440, 0.2500)
Br (0.0430, 0.9570, 0.2500)
Br (0.9570, 0.0430, 0.7500)
F (0.3111, 0.6889, 0.0711)
F (0.3111, 0.6889, 0.4289)
F (0.6889, 0.3111, 0.5711)
F (0.6889, 0.3111, 0.9289)


Which structure loses on stability? w does.


--- w ---
Compound: Gd2ErBr
Source: Alexandria via LeMat-Bulk
Functional: PBE-GGA
Structure: optimized geometry

## Properties
As for the space-group type: No. 123. The calculation puts the size of the total moment at 3.718 μB/atom. Its density of states at the Fermi level is 1.5326 states/eV per atom.

Lattice parameters (Å, degrees): 3.5411 3.5411 9.5019 90.00 90.00 90.00
Fractional coordinates of all 4 atoms:
Gd (0.0000, 0.0000, 0.2385)
Gd (0.0000, 0.0000, 0.7615)
Er (0.5000, 0.5000, 0.5000)
Br (0.5000, 0.5000, 0.0000)


--- x ---
Compound: Gd2ErBr
Source: Alexandria via LeMat-Bulk
Functional: PBE-GGA
Structure: optimized geometry

## Properties
As for the space-group type: No. 166. The calculation puts the size of the total moment at 3.710 μB/atom. Its density of states at the Fermi level is 1.6309 states/eV per atom.

Lattice parameters (Å, degrees): 10.4940 10.4940 10.4940 20.13 20.13 20.13
Fractional coordinates of all 4 atoms:
Gd (0.2428, 0.2428, 0.2428)
Gd (0.7572, 0.7572, 0.7572)
Er (0.0000, 0.0000, 0.0000)
Br (0.5000, 0.5000, 0.5000)


Which structure loses on stability? w does.


--- w ---
Compound: KErBr4
Source: Alexandria via LeMat-Bulk
Functional: PBE-GGA
Structure: optimized geometry

## Properties
As for the space-group type: No. 12. The calculation puts the size of the total moment at 0.000 μB/atom. Its density of states at the Fermi level is 0.0000 states/eV per atom.

Lattice parameters (Å, degrees): 7.1949 7.1949 8.3600 102.87 102.87 34.30
Fractional coordinates of all 6 atoms:
K (0.0000, 0.0000, 0.0000)
Er (0.5000, 0.5000, 0.5000)
Br (0.1164, 0.1164, 0.4139)
Br (0.3834, 0.3834, 0.1861)
Br (0.6166, 0.6166, 0.8139)
Br (0.8836, 0.8836, 0.5861)


--- x ---
Compound: KErBr4
Source: Alexandria via LeMat-Bulk
Functional: PBE-GGA
Structure: optimized geometry

## Properties
As for the space-group type: No. 15. The calculation puts the size of the total moment at 0.000 μB/atom. Its density of states at the Fermi level is 0.0000 states/eV per atom.

Lattice parameters (Å, degrees): 9.5141 9.5141 7.0018 107.92 107.92 115.43
Fractional coordinates of all 12 atoms:
K (0.1658, 0.8342, 0.7500)
K (0.8342, 0.1658, 0.2500)
Er (0.4221, 0.5779, 0.2500)
Er (0.5779, 0.4221, 0.7500)
Br (0.1395, 0.5311, 0.3037)
Br (0.2518, 0.3437, 0.7680)
Br (0.3437, 0.2518, 0.2680)
Br (0.4689, 0.8605, 0.1963)
Br (0.5311, 0.1395, 0.8037)
Br (0.6563, 0.7482, 0.7320)
Br (0.7482, 0.6563, 0.2320)
Br (0.8605, 0.4689, 0.6963)


Which structure loses on stability? w does.


--- w ---
Compound: La2ErBr
Source: Alexandria via LeMat-Bulk
Functional: PBE-GGA
Structure: optimized geometry

## Properties
As for the space-group type: No. 123. The calculation puts the size of the total moment at 0.000 μB/atom. Its density of states at the Fermi level is 1.1862 states/eV per atom.

Lattice parameters (Å, degrees): 3.6429 3.6429 9.7444 90.00 90.00 90.00
Fractional coordinates of all 4 atoms:
La (0.0000, 0.0000, 0.2338)
La (0.0000, 0.0000, 0.7662)
Er (0.5000, 0.5000, 0.5000)
Br (0.5000, 0.5000, 0.0000)


--- x ---
Compound: La2ErBr
Source: Alexandria via LeMat-Bulk
Functional: PBE-GGA
Structure: optimized geometry

## Properties
As for the space-group type: No. 166. The calculation puts the size of the total moment at 0.000 μB/atom. Its density of states at the Fermi level is 1.5033 states/eV per atom.

Lattice parameters (Å, degrees): 11.7756 11.7756 11.7756 17.44 17.44 17.44
Fractional coordinates of all 4 atoms:
La (0.0957, 0.0957, 0.0957)
La (0.9043, 0.9043, 0.9043)
Er (0.0000, 0.0000, 0.0000)
Br (0.5000, 0.5000, 0.5000)


Which structure loses on stability? x does.


--- w ---
Compound: Li3ErBr6
Source: Alexandria via LeMat-Bulk
Functional: PBE-GGA
Structure: optimized geometry

## Properties
As for the space-group type: No. 15. The calculation puts the size of the total moment at 0.000 μB/atom. Its density of states at the Fermi level is 0.0000 states/eV per atom.

Lattice parameters (Å, degrees): 6.8948 6.8948 13.2984 95.14 95.14 119.52
Fractional coordinates of all 20 atoms:
Li (0.0910, 0.9090, 0.7500)
Li (0.1545, 0.3121, 0.9985)
Li (0.3121, 0.1545, 0.4985)
Li (0.6879, 0.8455, 0.5015)
Li (0.8455, 0.6879, 0.0015)
Li (0.9090, 0.0910, 0.2500)
Er (0.0000, 0.5000, 0.5000)
Er (0.5000, 0.0000, 0.0000)
Br (0.0424, 0.2080, 0.6210)
Br (0.1201, 0.6346, 0.8813)
Br (0.2080, 0.0424, 0.1210)
Br (0.2810, 0.4402, 0.3797)
Br (0.3654, 0.8799, 0.6187)
Br (0.4402, 0.2810, 0.8797)
Br (0.5598, 0.7190, 0.1203)
Br (0.6346, 0.1201, 0.3813)
Br (0.7190, 0.5598, 0.6203)
Br (0.7920, 0.9576, 0.8790)
Br (0.8799, 0.3654, 0.1187)
Br (0.9576, 0.7920, 0.3790)


--- x ---
Compound: Li3ErBr6
Source: Alexandria via LeMat-Bulk
Functional: PBE-GGA
Structure: optimized geometry

## Properties
As for the space-group type: No. 2. The calculation puts the size of the total moment at 0.000 μB/atom. Its density of states at the Fermi level is 0.0000 states/eV per atom.

Lattice parameters (Å, degrees): 7.7391 7.7962 7.7977 61.32 61.22 61.22
Fractional coordinates of all 10 atoms:
Li (0.0000, 0.0000, 0.0000)
Li (0.0000, 0.5000, 0.5000)
Li (0.5000, 0.0000, 0.5000)
Er (0.0000, 0.5000, 0.0000)
Br (0.2298, 0.7690, 0.7696)
Br (0.2329, 0.2725, 0.2661)
Br (0.2435, 0.2489, 0.7487)
Br (0.7565, 0.7511, 0.2513)
Br (0.7671, 0.7275, 0.7339)
Br (0.7702, 0.2310, 0.2304)


--- y ---
Compound: Li3ErBr6
Source: Alexandria via LeMat-Bulk
Functional: PBE-GGA
Structure: optimized geometry

## Properties
As for the space-group type: No. 14. The calculation puts the size of the total moment at 0.000 μB/atom. Its density of states at the Fermi level is 0.0000 states/eV per atom.

Lattice parameters (Å, degrees): 7.0263 7.1155 12.8685 90.00 123.08 90.00
Fractional coordinates of all 20 atoms:
Li (0.0000, 0.0000, 0.0000)
Li (0.0000, 0.5000, 0.5000)
Li (0.2181, 0.0231, 0.7326)
Li (0.2181, 0.4769, 0.2326)
Li (0.7819, 0.5231, 0.7674)
Li (0.7819, 0.9769, 0.2674)
Er (0.5000, 0.0000, 0.5000)
Er (0.5000, 0.5000, 0.0000)
Br (0.1289, 0.1030, 0.2634)
Br (0.1289, 0.3970, 0.7634)
Br (0.2205, 0.6793, 0.0600)
Br (0.2205, 0.8207, 0.5600)
Br (0.4289, 0.1719, 0.0900)
Br (0.4289, 0.3281, 0.5900)
Br (0.5711, 0.6719, 0.4100)
Br (0.5711, 0.8281, 0.9100)
Br (0.7795, 0.1793, 0.4400)
Br (0.7795, 0.3207, 0.9400)
Br (0.8711, 0.6030, 0.2366)
Br (0.8711, 0.8970, 0.7366)


Which structure loses on stability? x does.